# 1
# TmNpAgO6 PBE optimized geometry
data_TmNpAgO6
_symmetry_space_group_name_H-M 'P 42 n m'
_symmetry_Int_Tables_number 102
_symmetry_space_group_name_Hall 'P 4n -2n'
_cell_length_a 5.1537
_cell_length_b 5.1537
_cell_length_c 9.8977
_cell_angle_alpha 90.00
_cell_angle_beta 90.00
_cell_angle_gamma 90.00
loop_
_atom_site_label
_atom_site_fract_x
_atom_site_fract_y
_atom_site_fract_z
_atom_site_occupancy
Tm1 0.0000 0.0000 0.0000 1
Np1 0.0000 0.0000 0.6584 1
Ag1 0.0000 0.0000 0.3249 1
O1 0.1747 0.1747 0.8110 1
O2 0.1899 0.1899 0.5078 1
O3 0.2131 0.2131 0.1559 1
# Total magnetic moment   0.12 μB/atom
# Energy relative to the elements, uncorrected   -2.24 eV/atom

***

# 2
# CsTl2Au2 PBE optimized geometry
data_CsTl2Au2
_symmetry_space_group_name_H-M 'P 4/m b m'
_symmetry_Int_Tables_number 127
_symmetry_space_group_name_Hall '-P 4 2ab'
_cell_length_a 9.2403
_cell_length_b 9.2403
_cell_length_c 3.4812
_cell_angle_alpha 90.00
_cell_angle_beta 90.00
_cell_angle_gamma 90.00
loop_
_atom_site_label
_atom_site_fract_x
_atom_site_fract_y
_atom_site_fract_z
_atom_site_occupancy
Cs1 0.0000 0.0000 0.0000 1
Tl1 0.1252 0.3748 0.0000 1
Au1 0.1697 0.6697 0.5000 1
# Total magnetic moment   0.00 μB/atom
# Excess energy over the best structure of this formula in the dataset   0.64 eV/f.u.

***

# 3
# RbMn2Ge2 PBE optimized geometry
data_RbMn2Ge2
_symmetry_space_group_name_H-M 'P 4/m b m'
_symmetry_Int_Tables_number 127
_symmetry_space_group_name_Hall '-P 4 2ab'
_cell_length_a 8.4665
_cell_length_b 8.4665
_cell_length_c 2.8597
_cell_angle_alpha 90.00
_cell_angle_beta 90.00
_cell_angle_gamma 90.00
loop_
_atom_site_label
_atom_site_fract_x
_atom_site_fract_y
_atom_site_fract_z
_atom_site_occupancy
Rb1 0.0000 0.0000 0.0000 1
Mn1 0.1321 0.3679 0.5000 1
Ge1 0.1419 0.6419 0.0000 1
# Total magnetic moment   1.45 μB/atom
# Excess energy over the best structure of this formula in the dataset   1.33 eV/f.u.

***

# 4
# Sm6TlP3S2 PBE optimized geometry
data_Sm6TlP3S2
_symmetry_space_group_name_H-M 'C 1 2/m 1'
_symmetry_Int_Tables_number 12
_symmetry_space_group_name_Hall '-C 2y'
_cell_length_a 18.0253
_cell_length_b 4.0920
_cell_length_c 8.3729
_cell_angle_alpha 90.00
_cell_angle_beta 102.95
_cell_angle_gamma 90.00
loop_
_atom_site_label
_atom_site_fract_x
_atom_site_fract_y
_atom_site_fract_z
_atom_site_occupancy
Sm1 0.0019 0.0000 0.2735 1
Sm2 0.1654 0.5000 0.5900 1
Sm3 0.1748 0.5000 0.0866 1
Tl1 0.0000 0.5000 0.0000 1
P1 0.0000 0.5000 0.5000 1
P2 0.1659 0.0000 0.8333 1
S1 0.1701 0.0000 0.3405 1
# Total magnetic moment   0.00 μB/atom
# Energy relative to the elements, uncorrected   -1.51 eV/atom

***

# 5
# BaLaHg6 PBE optimized geometry
data_BaLaHg6
_symmetry_space_group_name_H-M 'A m m 2'
_symmetry_Int_Tables_number 38
_symmetry_space_group_name_Hall 'A 2 -2'
_cell_length_a 5.2362
_cell_length_b 7.1074
_cell_length_c 12.3380
_cell_angle_alpha 90.00
_cell_angle_beta 90.00
_cell_angle_gamma 90.00
loop_
_atom_site_label
_atom_site_fract_x
_atom_site_fract_y
_atom_site_fract_z
_atom_site_occupancy
Ba1 0.0000 0.0000 0.0000 1
La1 0.5000 0.0000 0.3236 1
Hg1 0.0000 0.0000 0.4911 1
Hg2 0.0000 0.2430 0.7465 1
Hg3 0.5000 0.0000 0.8164 1
Hg4 0.5000 0.2210 0.5867 1
# Total magnetic moment   0.00 μB/atom
# E   -1.488 eV/atom

***

# 6
# Pm3Cd2Cu4 PBE optimized geometry
data_Pm3Cd2Cu4
_symmetry_space_group_name_H-M 'C 1 2/m 1'
_symmetry_Int_Tables_number 12
_symmetry_space_group_name_Hall '-C 2y'
_cell_length_a 9.9765
_cell_length_b 4.3884
_cell_length_c 8.9480
_cell_angle_alpha 90.00
_cell_angle_beta 93.30
_cell_angle_gamma 90.00
loop_
_atom_site_label
_atom_site_fract_x
_atom_site_fract_y
_atom_site_fract_z
_atom_site_occupancy
Pm1 0.0000 0.0000 0.0000 1
Pm2 0.1322 0.5000 0.3801 1
Cd1 0.1722 0.5000 0.7725 1
Cu1 0.0699 0.0000 0.6209 1
Cu2 0.2146 0.5000 0.0703 1
# Total magnetic moment   0.00 μB/atom
# E   -3.808 eV/atom

***

# 7
# CrSbPb2 PBE optimized geometry
data_CrSbPb2
_symmetry_space_group_name_H-M 'I m m 2'
_symmetry_Int_Tables_number 44
_symmetry_space_group_name_Hall 'I 2 -2'
_cell_length_a 3.3671
_cell_length_b 5.4598
_cell_length_c 11.5112
_cell_angle_alpha 90.00
_cell_angle_beta 90.00
_cell_angle_gamma 90.00
loop_
_atom_site_label
_atom_site_fract_x
_atom_site_fract_y
_atom_site_fract_z
_atom_site_occupancy
Cr1 0.0000 0.0000 0.0000 1
Sb1 0.0000 0.5000 0.3052 1
Pb1 0.0000 0.0000 0.5156 1
Pb2 0.0000 0.5000 0.7258 1
# Total magnetic moment   0.96 μB/atom
# Energy relative to the elements, uncorrected   0.32 eV/atom

***

# 8
# KPuSb PBE optimized geometry
data_KPuSb
_symmetry_space_group_name_H-M 'I 4 m m'
_symmetry_Int_Tables_number 107
_symmetry_space_group_name_Hall 'I 4 -2'
_cell_length_a 4.1693
_cell_length_b 4.1693
_cell_length_c 13.2748
_cell_angle_alpha 90.00
_cell_angle_beta 90.00
_cell_angle_gamma 90.00
loop_
_atom_site_label
_atom_site_fract_x
_atom_site_fract_y
_atom_site_fract_z
_atom_site_occupancy
K1 0.0000 0.0000 0.0000 1
Pu1 0.0000 0.0000 0.2662 1
Sb1 0.0000 0.0000 0.6869 1
# Total magnetic moment   1.99 μB/atom
# Energy relative to the elements, uncorrected   -0.15 eV/atom
# Excess energy over the best structure of this formula in the dataset   0.00 eV/f.u.

***

# 9
# Sr2Zn3Pd4 PBE optimized geometry
data_Sr2Zn3Pd4
_symmetry_space_group_name_H-M 'C m c e'
_symmetry_Int_Tables_number 64
_symmetry_space_group_name_Hall '-C 2ac 2'
_cell_length_a 5.8081
_cell_length_b 15.7793
_cell_length_c 7.6664
_cell_angle_alpha 90.00
_cell_angle_beta 90.00
_cell_angle_gamma 90.00
loop_
_atom_site_label
_atom_site_fract_x
_atom_site_fract_y
_atom_site_fract_z
_atom_site_occupancy
Sr1 0.0000 0.1084 0.0873 1
Zn1 0.0000 0.0000 0.5000 1
Zn2 0.2500 0.2290 0.7500 1
Pd1 0.0000 0.1791 0.4850 1
Pd2 0.2500 0.0642 0.7500 1
# Total magnetic moment   0.00 μB/atom
# E   -3.682 eV/atom

***

# 10
# LiCa2Zn3Ag12 PBE optimized geometry
data_LiCa2Zn3Ag12
_symmetry_space_group_name_H-M 'R -3 m'
_symmetry_Int_Tables_number 166
_symmetry_space_group_name_Hall '-R 3 2"'
_cell_length_a 6.9489
_cell_length_b 6.9489
_cell_length_c 27.9679
_cell_angle_alpha 90.00
_cell_angle_beta 90.00
_cell_angle_gamma 120.00
loop_
_atom_site_label
_atom_site_fract_x
_atom_site_fract_y
_atom_site_fract_z
_atom_site_occupancy
Li1 0.0000 0.0000 0.0000 1
Ca1 0.0000 0.0000 0.3513 1
Zn1 0.0000 0.5000 0.5000 1
Ag1 0.0458 0.5229 0.6008 1
Ag2 0.0661 0.5331 0.1195 1
# Total magnetic moment   0.00 μB/atom
# E   -2.374 eV/atom